Entry one
CePd2Au6 PBE-GGA relaxed; density of states at the Fermi level = 1.28 states/eV per atom; size of the total moment = 1.01 μB/cell; density = 12.48 g/cm³
1.0
5.573 0.000 0.000
-2.786 4.826 0.000
0.000 0.000 7.595
Ce Pd Au
1 2 6
direct
0.000 0.000 0.000
0.333 0.667 0.500
0.667 0.333 0.500
0.500 0.000 0.203
0.500 0.500 0.203
0.000 0.500 0.203
0.500 0.500 0.797
0.000 0.500 0.797
0.500 0.000 0.797

Entry two
CePd2Au6 PBE-GGA relaxed; density of states at the Fermi level = 0.84 states/eV per atom; size of the total moment = 0.58 μB/cell; density = 15.14 g/cm³
1.0
-3.549 2.152 -0.359
-1.828 -2.007 6.047
5.070 4.445 0.701
Ce Pd Au
1 2 6
direct
0.500 0.500 0.000
0.951 0.176 0.902
0.049 0.824 0.098
0.391 0.845 0.782
0.609 0.155 0.218
0.730 0.842 0.459
0.173 0.513 0.346
0.270 0.158 0.541
0.827 0.487 0.654

Order from most stable to least stable according to the calculation: entry two, entry one

Entry one
CePmPdAu PBE-GGA relaxed; density of states at the Fermi level = 2.19 states/eV per atom; size of the total moment = 1.06 μB/cell; density = 10.07 g/cm³
1.0
-2.606 -4.349 0.944
2.271 -3.865 2.550
-1.472 -1.131 4.812
Au Pd Ce Pm
1 1 1 1
direct
0.000 0.000 0.000
0.500 0.500 0.500
0.250 0.250 0.250
0.750 0.750 0.750

Entry two
CePmPdAu PBE-GGA relaxed; density of states at the Fermi level = 1.86 states/eV per atom; size of the total moment = 0.82 μB/cell; density = 9.77 g/cm³
1.0
-1.199 -2.607 -2.570
-1.845 -2.516 3.413
-4.244 4.089 0.720
Ce Pm Pd Au
1 1 1 1
direct
0.864 0.500 0.729
0.141 0.000 0.282
0.410 0.000 0.820
0.585 0.500 0.170

Order from most stable to least stable according to the calculation: entry two, entry one

Entry one
CePrPdAu PBE-GGA relaxed; density of states at the Fermi level = 2.28 states/eV per atom; size of the total moment = 1.16 μB/cell; density = 9.80 g/cm³
1.0
-1.755 4.567 1.742
-5.100 0.978 0.038
-2.563 0.247 4.510
Pr Au Pd Ce
1 1 1 1
direct
0.250 0.250 0.250
0.000 0.000 0.000
0.500 0.500 0.500
0.750 0.750 0.750

Entry two
CePrPdAu PBE-GGA relaxed; density of states at the Fermi level = 1.90 states/eV per atom; size of the total moment = 0.89 μB/cell; density = 9.48 g/cm³
1.0
3.891 0.000 0.000
0.000 4.657 0.000
-1.945 0.000 5.649
Ce Pr Pd Au
1 1 1 1
direct
0.865 0.500 0.730
0.142 0.000 0.283
0.410 0.000 0.820
0.583 0.500 0.167

Order from most stable to least stable according to the calculation: entry two, entry one

Entry one
CeSmPdAu PBE-GGA relaxed; density of states at the Fermi level = 2.14 states/eV per atom; size of the total moment = 1.01 μB/cell; density = 10.24 g/cm³
1.0
-4.088 -1.232 2.871
0.065 -4.270 2.871
0.257 0.351 5.127
Pd Au Ce Sm
1 1 1 1
direct
0.750 0.750 0.750
0.250 0.250 0.250
0.000 0.000 0.000
0.500 0.500 0.500

Entry two
CeSmPdAu PBE-GGA relaxed; density of states at the Fermi level = 1.85 states/eV per atom; size of the total moment = 0.80 μB/cell; density = 9.93 g/cm³
1.0
-2.897 1.837 -1.724
1.892 -0.877 -4.113
-1.424 -5.725 0.566
Ce Sm Pd Au
1 1 1 1
direct
0.864 0.500 0.728
0.141 0.000 0.282
0.410 0.000 0.819
0.585 0.500 0.171

Order from most stable to least stable according to the calculation: entry two, entry one